Entry 1:
First-principles (meta-GGA SCAN) data for a crystal of CaScCu2 relaxed with PBEsol, as listed in Alexandria via LeMat-Bulk.

Properties
Volume   146.5 Å³ per cell
DOS at the Fermi energy   5.7 states/eV per cell
Formation energy   -0.121 eV per atom

```
data_CaScCu2
_chemical_formula_sum 'Ca2 Sc2 Cu4'
_cell_length_a 6.708
_cell_length_b 6.717
_cell_length_c 3.252
_cell_angle_alpha 90.00
_cell_angle_beta 90.00
_cell_angle_gamma 90.00
_space_group_name_H-M_alt 'C m m m'
_space_group_IT_number 65
_space_group_name_Hall '-C 2 2'
loop_
_atom_site_label
_atom_site_type_symbol
_atom_site_fract_x
_atom_site_fract_y
_atom_site_fract_z
Ca1 Ca 0.000 0.000 0.000
Sc1 Sc 0.000 0.500 0.000
Cu1 Cu 0.250 0.250 0.500
```

***

Entry 2:
First-principles (meta-GGA SCAN) data for a crystal of BaAl2Si2 relaxed with PBEsol, as listed in Alexandria via LeMat-Bulk.

Properties
Volume   458.3 Å³ per cell
Formation energy (no corrections)   -1.7 eV/f.u.
DOS at the Fermi energy   1.8 states/eV per cell

```
data_BaAl2Si2
_chemical_formula_sum 'Ba4 Al8 Si8'
_cell_length_a 9.981
_cell_length_b 4.231
_cell_length_c 10.853
_cell_angle_alpha 90.00
_cell_angle_beta 90.00
_cell_angle_gamma 90.00
_space_group_name_H-M_alt 'P n m a'
_space_group_IT_number 62
loop_
_space_group_symop_operation_xyz
'x,y,z'
'-x,-y,-z'
'-x+1/2,-y,z+1/2'
'x+1/2,y,-z+1/2'
'x+1/2,-y+1/2,-z+1/2'
'-x+1/2,y+1/2,z+1/2'
'-x,y+1/2,-z'
'x,-y+1/2,z'
loop_
_atom_site_label
_atom_site_type_symbol
_atom_site_fract_x
_atom_site_fract_y
_atom_site_fract_z
Ba1 Ba 0.247 0.250 0.175
Al1 Al 0.043 0.250 0.881
Al2 Al 0.099 0.250 0.454
Si1 Si 0.026 0.750 0.343
Si2 Si 0.146 0.750 0.960
```

***

Entry 3:
First-principles (meta-GGA SCAN) data for a crystal of CuRh3 relaxed with PBEsol, as listed in Alexandria via LeMat-Bulk.

Properties
Volume   104.5 Å³ per cell
DOS at the Fermi energy   7.4 states/eV per cell
Formation energy   0.036 eV per atom

```
data_CuRh3
_chemical_formula_sum 'Cu2 Rh6'
_cell_length_a 8.732
_cell_length_b 2.668
_cell_length_c 4.561
_cell_angle_alpha 90.00
_cell_angle_beta 100.33
_cell_angle_gamma 90.00
_space_group_name_H-M_alt 'C 1 2/m 1'
_space_group_IT_number 12
loop_
_space_group_symop_operation_xyz
'x,y,z'
'-x,-y,-z'
'-x,y,-z'
'x,-y,z'
'x+1/2,y+1/2,z'
'-x+1/2,-y+1/2,-z'
'-x+1/2,y+1/2,-z'
'x+1/2,-y+1/2,z'
loop_
_atom_site_label
_atom_site_type_symbol
_atom_site_fract_x
_atom_site_fract_y
_atom_site_fract_z
Cu1 Cu 0.000 0.000 0.000
Rh1 Rh 0.000 0.500 0.500
Rh2 Rh 0.249 0.000 0.751
```

***

Entry 4:
First-principles (meta-GGA SCAN) data for a crystal of HfZrBr2 relaxed with PBEsol, as listed in Alexandria via LeMat-Bulk.

Properties
Volume   258.7 Å³ per cell
Formation energy (no corrections)   -1.8 eV/f.u.
DOS at the Fermi energy   6.8 states/eV per cell

```
data_HfZrBr2
_chemical_formula_sum 'Hf3 Zr3 Br6'
_cell_length_a 3.2510
_cell_length_b 3.2510
_cell_length_c 28.2587
_cell_angle_alpha 90.00
_cell_angle_beta 90.00
_cell_angle_gamma 120.00
_space_group_name_H-M_alt 'R -3 m'
_space_group_IT_number 166
_space_group_name_Hall '-R 3 2"'
loop_
_atom_site_label
_atom_site_type_symbol
_atom_site_fract_x
_atom_site_fract_y
_atom_site_fract_z
Hf1 Hf 0.0000 0.0000 0.0000
Zr1 Zr 0.0000 0.0000 0.5000
Br1 Br 0.0000 0.0000 0.4033
```

***

Entry 5:
First-principles (meta-GGA SCAN) data for a crystal of YCd relaxed with PBEsol, as listed in Alexandria via LeMat-Bulk.

Properties
Volume   50.0 Å³ per cell
DOS at the Fermi energy   1.4 states/eV per cell
Formation energy   -0.504 eV per atom

```
data_YCd
_chemical_formula_sum 'Y1 Cd1'
_cell_length_a 3.685
_cell_length_b 3.685
_cell_length_c 3.685
_cell_angle_alpha 90.00
_cell_angle_beta 90.00
_cell_angle_gamma 90.00
_space_group_name_H-M_alt 'P m -3 m'
_space_group_IT_number 221
_space_group_name_Hall '-P 4 2 3'
loop_
_atom_site_label
_atom_site_type_symbol
_atom_site_fract_x
_atom_site_fract_y
_atom_site_fract_z
Y1 Y 0.000 0.000 0.000
Cd1 Cd 0.500 0.500 0.500
```

***

Entry 6:
First-principles (meta-GGA SCAN) data for a crystal of LaTcTe2 relaxed with PBEsol, as listed in Alexandria via LeMat-Bulk.

Properties
Volume   195.3 Å³ per cell
Formation energy (no corrections)   -0.7 eV/f.u.
DOS at the Fermi energy   6.1 states/eV per cell

```
data_LaTcTe2
_chemical_formula_sum 'La2 Tc2 Te4'
_cell_length_a 4.363
_cell_length_b 4.363
_cell_length_c 10.259
_cell_angle_alpha 90.00
_cell_angle_beta 90.00
_cell_angle_gamma 90.00
_space_group_name_H-M_alt 'I -4 m 2'
_space_group_IT_number 119
_space_group_name_Hall 'I -4 -2'
loop_
_atom_site_label
_atom_site_type_symbol
_atom_site_fract_x
_atom_site_fract_y
_atom_site_fract_z
La1 La 0.000 0.000 0.000
Tc1 Tc 0.000 0.500 0.250
Te1 Te 0.000 0.000 0.500
Te2 Te 0.000 0.500 0.750
```